Compound: Tm2Ga3Cu4Au
Source: Alexandria
Functional: PBE
Structure: relaxed

Summary:
Formation energy: -9.06 kcal/mol of atoms

a = 3.9782 Å, b = 3.9782 Å, c = 10.8994 Å
α = 90.00°, β = 90.00°, γ = 90.00°
Sites, in units of the cell vectors:
Cu 0.5000 0.5000 0.0000
Tm 0.5000 0.0000 0.2479
Cu 0.0000 0.0000 0.0000
Au 0.5000 0.5000 0.5000
Ga 0.5000 0.0000 0.8684
Cu 0.0000 0.5000 0.3479
Ga 0.0000 0.0000 0.5000
Cu 0.5000 0.0000 0.6521
Tm 0.0000 0.5000 0.7521
Ga 0.0000 0.5000 0.1316



Compound: MgZnRh2
Source: Alexandria
Functional: PBE
Structure: relaxed

Summary:
Formation energy: -6.94 kcal/mol of atoms

a = 4.8976 Å, b = 4.8976 Å, c = 4.8976 Å
α = 134.46°, β = 134.46°, γ = 66.36°
Sites, in units of the cell vectors:
Zn 0.5000 0.5000 0.0000
Rh 0.0000 0.0000 0.0000
Mg 0.7500 0.2500 0.5000
Rh 0.2500 0.7500 0.5000



Compound: PrNdH
Source: Alexandria
Functional: PBE
Structure: relaxed

a = 5.8484 Å, b = 6.5048 Å, c = 11.3541 Å
α = 90.00°, β = 90.00°, γ = 90.00°
Sites, in units of the cell vectors:
Pr 0.6853 0.0817 0.3331
Pr 0.6853 0.0817 0.6669
Pr 0.7034 0.5823 0.5000
Pr 0.1853 0.9183 0.1669
H 0.4481 0.7495 0.0000
H 0.9431 0.2517 0.1670
H 0.4431 0.7483 0.6670
H 0.9481 0.2505 0.5000
Pr 0.2034 0.4177 0.0000
Nd 0.7032 0.5806 0.1663
Pr 0.1853 0.9183 0.8331
Nd 0.2032 0.4194 0.6663
H 0.9431 0.2517 0.8330
H 0.4431 0.7483 0.3330
Nd 0.7032 0.5806 0.8337
Nd 0.2032 0.4194 0.3337
Nd 0.6853 0.0799 0.0000
Nd 0.1853 0.9201 0.5000



Compound: Li2Al3Cu4
Source: Alexandria
Functional: PBE
Structure: relaxed

Summary:
Formation energy: -4.44 kcal/mol of atoms

a = 4.1050 Å, b = 4.2827 Å, c = 7.7614 Å
α = 86.81°, β = 89.95°, γ = 61.39°
Sites, in units of the cell vectors:
Al 0.6614 0.6772 0.5762
Cu 0.6641 0.6726 0.8973
Li 0.6721 0.6552 0.2179
Al 0.3386 0.3228 0.4238
Li 0.3279 0.3448 0.7821
Cu 0.3359 0.3274 0.1027
Al 0.0000 0.0000 0.0000
Cu 0.0136 0.9730 0.3370
Cu 0.9864 0.0270 0.6630



Compound: YErSbAs
Source: Alexandria
Functional: PBE
Structure: relaxed

Summary:
Formation energy from raw total energies: -1.219 eV/atom

a = 4.1942 Å, b = 4.1946 Å, c = 7.5672 Å
α = 90.00°, β = 106.08°, γ = 120.00°
Sites, in units of the cell vectors:
As 0.1311 0.9635 0.1095
Y 0.9558 0.3760 0.3470
Er 0.3181 0.5569 0.8902
Sb 0.4729 0.1344 0.6230



Compound: CsBaCo2I8
Source: Alexandria
Functional: PBE
Structure: relaxed

Summary:
Formation energy from raw total energies: -0.703 eV/atom

a = 7.6650 Å, b = 7.6650 Å, c = 11.9586 Å
α = 71.31°, β = 71.31°, γ = 60.00°
Sites, in units of the cell vectors:
I 0.5684 0.3058 0.1872
Co 0.7541 0.7541 0.7378
I 0.8294 0.8294 0.5119
I 0.4316 0.6942 0.8128
I 0.9386 0.5684 0.1872
I 0.3058 0.9386 0.1872
Co 0.2459 0.2459 0.2622
Ba 0.0000 0.0000 0.0000
I 0.0614 0.4316 0.8128
I 0.1706 0.1706 0.4881
I 0.6942 0.0614 0.8128
Cs 0.5000 0.5000 0.5000



Compound: Mn2Tl5S5
Source: Alexandria
Functional: PBE
Structure: relaxed

Summary:
Formation energy from raw total energies: -0.383 eV/atom

a = 3.8958 Å, b = 7.9095 Å, c = 13.9188 Å
α = 52.16°, β = 81.96°, γ = 75.74°
Sites, in units of the cell vectors:
Mn 0.9620 0.2884 0.7876
S 0.6195 0.5005 0.2605
Tl 0.5000 0.5000 0.5000
Tl 0.3570 0.2287 0.0573
S 0.3805 0.4995 0.7395
Tl 0.7304 0.9082 0.6310
S 0.0000 0.0000 0.0000
S 0.0982 0.0944 0.7092
Mn 0.0380 0.7116 0.2124
Tl 0.6430 0.7713 0.9427
S 0.9018 0.9056 0.2908
Tl 0.2696 0.0918 0.3690



Compound: ZnAuCl2
Source: Alexandria
Functional: PBE
Structure: relaxed

Summary:
Formation energy from raw total energies: -0.173 eV/atom

a = 3.2410 Å, b = 3.2410 Å, c = 8.1780 Å
α = 90.00°, β = 90.00°, γ = 90.00°
Sites, in units of the cell vectors:
Cl 0.0000 0.0000 0.9197
Zn 0.0000 0.0000 0.5188
Cl 0.5000 0.5000 0.3418
Au 0.5000 0.5000 0.7197



Compound: Pr2CoNi2
Source: Alexandria
Functional: PBE
Structure: relaxed

Summary:
Formation energy: -4.40 kcal/mol of atoms

a = 4.0166 Å, b = 5.6633 Å, c = 9.8024 Å
α = 80.88°, β = 78.18°, γ = 69.23°
Sites, in units of the cell vectors:
Ni 0.6114 0.8911 0.8861
Pr 0.9013 0.3031 0.8942
Co 0.5706 0.1762 0.6825
Ni 0.3886 0.1089 0.1139
Co 0.4294 0.8238 0.3175
Pr 0.0987 0.6969 0.1058
Ni 0.0371 0.3359 0.5899
Pr 0.2970 0.7661 0.6399
Ni 0.9629 0.6641 0.4101
Pr 0.7030 0.2339 0.3601



Compound: Sc2MnMo
Source: Alexandria
Functional: PBE
Structure: relaxed

Summary:
Formation energy: 5.09 kcal/mol of atoms

a = 4.4350 Å, b = 4.4335 Å, c = 3.7164 Å
α = 90.00°, β = 90.00°, γ = 90.00°
Sites, in units of the cell vectors:
Sc 0.0000 0.0000 0.0000
Mo 0.0000 0.5000 0.5000
Sc 0.5000 0.5000 0.0000
Mn 0.5000 0.0000 0.5000



Compound: ZnSiCl3
Source: Alexandria
Functional: PBE
Structure: relaxed

Summary:
Formation energy from raw total energies: -0.285 eV/atom

a = 4.9247 Å, b = 4.9247 Å, c = 4.9247 Å
α = 90.00°, β = 90.00°, γ = 90.00°
Sites, in units of the cell vectors:
Cl 0.0000 0.0000 0.5000
Zn 0.5000 0.5000 0.5000
Si 0.0000 0.0000 0.0000
Cl 0.0000 0.5000 0.0000
Cl 0.5000 0.0000 0.0000



Compound: BaLiAg2P
Source: Alexandria
Functional: PBE
Structure: relaxed

Summary:
Formation energy: 6.44 kcal/mol of atoms

a = 4.6699 Å, b = 6.0838 Å, c = 4.6699 Å
α = 90.00°, β = 90.00°, γ = 90.00°
Sites, in units of the cell vectors:
Li 0.0000 0.0000 0.0000
Ba 0.0000 0.5000 0.0000
P 0.5000 0.5000 0.5000
Ag 0.0000 0.0000 0.5000
Ag 0.5000 0.0000 0.0000



Compound: Ac3SnIr
Source: Alexandria
Functional: PBE
Structure: relaxed

Summary:
Formation energy: -11.47 kcal/mol of atoms

a = 5.7766 Å, b = 5.7766 Å, c = 5.7766 Å
α = 90.00°, β = 90.00°, γ = 90.00°
Sites, in units of the cell vectors:
Ir 0.0000 0.0000 0.0000
Sn 0.5000 0.5000 0.5000
Ac 0.0000 0.5000 0.0000
Ac 0.0000 0.0000 0.5000
Ac 0.5000 0.0000 0.0000



Compound: Tb2DyYSc4
Source: Alexandria
Functional: PBE
Structure: relaxed

Summary:
Formation energy: 1.22 kcal/mol of atoms

a = 4.9033 Å, b = 4.8979 Å, c = 10.5300 Å
α = 62.28°, β = 90.00°, γ = 90.00°
Sites, in units of the cell vectors:
Tb 0.0000 0.0000 0.0000
Sc 0.0000 0.7511 0.7489
Y 0.5000 0.5000 0.0000
Tb 0.5000 0.0000 0.5000
Sc 0.5000 0.7488 0.2512
Sc 0.0000 0.2489 0.2511
Dy 0.0000 0.5000 0.5000
Sc 0.5000 0.2512 0.7488



Compound: K4Rb2TlAu2
Source: Alexandria
Functional: PBE
Structure: relaxed

Summary:
Formation energy: -3.22 kcal/mol of atoms

a = 6.3736 Å, b = 8.0941 Å, c = 12.6140 Å
α = 126.78°, β = 107.84°, γ = 79.01°
Sites, in units of the cell vectors:
K 0.6685 0.8726 0.6595
Au 0.1092 0.6824 0.0511
K 0.3315 0.1274 0.3405
Rb 0.9898 0.3556 0.6973
Rb 0.0102 0.6444 0.3027
Au 0.8908 0.3176 0.9489
Tl 0.0000 0.0000 0.0000
K 0.5586 0.7170 0.9718
K 0.4414 0.2830 0.0282



Compound: Zn2FeOs
Source: Alexandria
Functional: PBE
Structure: relaxed

Summary:
Formation energy: 4.63 kcal/mol of atoms

a = 2.6021 Å, b = 3.9844 Å, c = 5.2728 Å
α = 90.00°, β = 90.00°, γ = 90.00°
Sites, in units of the cell vectors:
Zn 0.0000 0.0000 0.4968
Zn 0.0000 0.0000 0.0032
Fe 0.5000 0.5000 0.2500
Os 0.5000 0.5000 0.7500



Compound: CePa2Al9
Source: Alexandria
Functional: PBE
Structure: relaxed

Summary:
Formation energy: -6.61 kcal/mol of atoms

a = 4.3115 Å, b = 4.3115 Å, c = 12.9514 Å
α = 90.00°, β = 90.00°, γ = 90.00°
Sites, in units of the cell vectors:
Al 0.0000 0.5000 0.8324
Al 0.5000 0.5000 0.3336
Pa 0.0000 0.0000 0.3342
Al 0.0000 0.5000 0.1676
Al 0.5000 0.0000 0.8324
Al 0.5000 0.5000 0.0000
Al 0.0000 0.5000 0.5000
Al 0.5000 0.0000 0.1676
Al 0.5000 0.5000 0.6664
Pa 0.0000 0.0000 0.6658
Al 0.5000 0.0000 0.5000
Ce 0.0000 0.0000 0.0000



Compound: CdAgAu2O
Source: Alexandria
Functional: PBE
Structure: relaxed

Summary:
Formation energy from raw total energies: 1.114 eV/atom

a = 5.0885 Å, b = 5.2341 Å, c = 5.0885 Å
α = 90.00°, β = 90.00°, γ = 90.00°
Sites, in units of the cell vectors:
Cd 0.0000 0.5000 0.0000
Ag 0.0000 0.0000 0.0000
Au 0.5000 0.0000 0.0000
O 0.5000 0.5000 0.5000
Au 0.0000 0.0000 0.5000



Compound: In2Ga7
Source: Alexandria
Functional: PBE
Structure: relaxed

Summary:
Formation energy: 1.16 kcal/mol of atoms

a = 5.4058 Å, b = 5.4058 Å, c = 7.4525 Å
α = 90.00°, β = 90.00°, γ = 120.00°
Sites, in units of the cell vectors:
Ga 0.3280 0.3280 0.3502
Ga 0.6720 0.6720 0.6498
In 0.6667 0.3333 0.0000
Ga 0.0000 0.0000 0.0000
Ga 0.0000 0.6720 0.3502
Ga 0.3280 0.0000 0.6498
In 0.3333 0.6667 0.0000
Ga 0.6720 0.0000 0.3502
Ga 0.0000 0.3280 0.6498



Compound: BaAl6Pd3
Source: Alexandria
Functional: PBE
Structure: relaxed

Summary:
Formation energy: -11.29 kcal/mol of atoms

a = 6.8071 Å, b = 7.0724 Å, c = 8.3369 Å
α = 110.45°, β = 90.00°, γ = 90.00°
Sites, in units of the cell vectors:
Pd 0.3532 0.7016 0.9537
Al 0.7004 0.6885 0.2241
Pd 0.1468 0.2016 0.4537
Al 0.6826 0.5728 0.8774
Al 0.3174 0.4272 0.1226
Al 0.8174 0.0728 0.3774
Pd 0.6468 0.2984 0.0463
Al 0.0114 0.5395 0.6797
Al 0.2996 0.3115 0.7759
Pd 0.0000 0.5000 0.0000
Al 0.1826 0.9272 0.6226
Ba 0.0000 0.0000 0.0000
Al 0.9886 0.4605 0.3203
Al 0.5114 0.9605 0.8203
Al 0.2004 0.8115 0.2759
Ba 0.5000 0.5000 0.5000
Pd 0.5000 0.0000 0.5000
Al 0.7996 0.1885 0.7241
Pd 0.8532 0.7984 0.5463
Al 0.4886 0.0395 0.1797



Compound: Rb2ReCl4F2
Source: Alexandria
Functional: PBE
Structure: relaxed

Summary:
Formation energy from raw total energies: -1.671 eV/atom

a = 5.9595 Å, b = 6.7889 Å, c = 6.7889 Å
α = 63.40°, β = 77.99°, γ = 77.99°
Sites, in units of the cell vectors:
Cl 0.3137 0.6755 0.1507
Cl 0.3137 0.1507 0.6755
Cl 0.6862 0.3245 0.8493
F 0.2379 0.1450 0.1450
Re 0.5000 0.0000 0.0000
Rb 0.1900 0.6769 0.6769
Rb 0.8100 0.3231 0.3231
F 0.7621 0.8550 0.8550
Cl 0.6862 0.8493 0.3245



Compound: Ti7TlIn4
Source: Alexandria
Functional: PBE
Structure: relaxed

Summary:
Formation energy: 4.29 kcal/mol of atoms

a = 5.1800 Å, b = 9.6982 Å, c = 5.8164 Å
α = 83.51°, β = 63.56°, γ = 74.51°
Sites, in units of the cell vectors:
In 0.4064 0.7775 0.4097
Ti 0.5000 0.0000 0.0000
Ti 0.2180 0.0862 0.4777
In 0.5936 0.2225 0.5903
Ti 0.0304 0.6175 0.3217
In 0.2768 0.3187 0.1278
Ti 0.9696 0.3825 0.6783
In 0.7232 0.6813 0.8722
Tl 0.0000 0.0000 0.0000
Ti 0.6411 0.4644 0.2533
Ti 0.7820 0.9138 0.5223
Ti 0.3589 0.5356 0.7467



Compound: Na2Sn3
Source: Alexandria
Functional: PBE
Structure: relaxed

Summary:
Formation energy: 1.42 kcal/mol of atoms

a = 7.7701 Å, b = 7.7701 Å, c = 7.6160 Å
α = 59.33°, β = 59.33°, γ = 60.00°
Sites, in units of the cell vectors:
Sn 0.5313 0.9687 0.7500
Sn 0.4687 0.0313 0.2500
Sn 0.2500 0.4687 0.2500
Na 0.4098 0.4098 0.7706
Na 0.5902 0.5902 0.2294
Sn 0.7500 0.5313 0.7500
Sn 0.9687 0.7500 0.7500
Sn 0.0313 0.2500 0.2500
Na 0.9098 0.9098 0.2706
Na 0.0902 0.0902 0.7294



Compound: AcCuP2
Source: Alexandria
Functional: PBE
Structure: relaxed

Summary:
Formation energy: -17.87 kcal/mol of atoms

a = 3.9394 Å, b = 3.9394 Å, c = 10.5742 Å
α = 90.00°, β = 90.00°, γ = 90.00°
Sites, in units of the cell vectors:
Cu 0.5000 0.5000 0.0000
P 0.5000 0.5000 0.5000
P 0.5000 0.0000 0.1305
Cu 0.0000 0.0000 0.0000
Ac 0.0000 0.5000 0.2650
P 0.0000 0.0000 0.5000
P 0.0000 0.5000 0.8695
Ac 0.5000 0.0000 0.7350



| no. | E_tot (eV/atom) |
| --- | --- |
| 1 | -4.1613 |
| 2 | -4.6940 |
| 3 | -4.4950 |
| 4 | -3.6859 |
| 5 | -6.1687 |
| 6 | -3.1523 |
| 7 | -4.6174 |
| 8 | -2.2338 |
| 9 | -5.8361 |
| 10 | -7.9453 |
| 11 | -2.7324 |
| 12 | -2.7104 |
| 13 | -5.5350 |
| 14 | -5.6536 |
| 15 | -1.8335 |
| 16 | -5.3592 |
| 17 | -5.1706 |
| 18 | -1.9415 |
| 19 | -2.9125 |
| 20 | -4.4850 |
| 21 | -4.5055 |
| 22 | -5.5293 |
| 23 | -2.8678 |
| 24 | -5.5310 |